[1]
# Pr2CuAg3

A geometry-optimized Pr2CuAg3 structure (GGA-PBE, Alexandria via LeMat-Bulk).

Cell lengths 4.145, 4.068, 9.169 Å; angles 102.82, 103.06, 90.00 degrees
Positions (direct):
Pr 0.119 0.119 0.238
Pr 0.884 0.384 0.769
Cu 0.452 0.952 0.904
Ag 0.701 0.701 0.402
Ag 0.541 0.541 0.082
Ag 0.302 0.802 0.605

Calculated values
The total energy comes out at -23.31 eV per cell. The calculation puts the calculated formation energy at -0.18 eV per atom. The calculation puts the volume at 146.7 Å³/cell. As for the space group: Imm2 (44).

[2]
# Pr6CuAg

A geometry-optimized Pr6CuAg structure (GGA-PBE, Alexandria via LeMat-Bulk).

Cell lengths 5.262, 5.262, 9.690 Å; angles 74.24, 74.25, 90.00 degrees
Positions (direct):
Pr 0.750 0.750 0.501
Pr 0.603 0.103 0.794
Pr 0.103 0.603 0.794
Pr 0.397 0.897 0.206
Pr 0.250 0.250 0.499
Pr 0.897 0.397 0.206
Cu 0.500 0.500 0.000
Ag 0.000 0.000 0.000

Calculated values
The total energy comes out at -36.14 eV per cell. The calculation puts the calculated formation energy at -0.06 eV per atom. The calculation puts the volume at 247.8 Å³/cell. As for the space group: I4/mmm (139).

[3]
# PrCu2Ag

A geometry-optimized PrCu2Ag structure (GGA-PBE, Alexandria via LeMat-Bulk).

Cell lengths 4.480, 4.480, 5.294 Å; angles 64.97, 64.97, 60.00 degrees
Positions (direct):
Pr 0.000 0.000 0.000
Cu 0.790 0.790 0.630
Cu 0.210 0.210 0.370
Ag 0.500 0.500 0.500

Calculated values
The total energy comes out at -16.33 eV per cell. The calculation puts the calculated formation energy at -0.13 eV per atom. The calculation puts the volume at 80.3 Å³/cell. As for the space group: R-3m (166).

[4]
# Pr6Cu5Ag

A geometry-optimized Pr6Cu5Ag structure (GGA-PBE, Alexandria via LeMat-Bulk).

Cell lengths 5.194, 7.238, 8.204 Å; angles 90.00, 108.81, 90.00 degrees
Positions (direct):
Pr 0.831 0.747 0.659
Pr 0.831 0.253 0.659
Pr 0.500 0.258 0.000
Pr 0.500 0.742 0.000
Pr 0.169 0.747 0.341
Pr 0.169 0.253 0.341
Ag 0.000 0.000 0.000
Cu 0.664 0.500 0.331
Cu 0.337 0.000 0.671
Cu 0.000 0.500 0.000
Cu 0.663 0.000 0.329
Cu 0.336 0.500 0.669

Calculated values
The total energy comes out at -53.60 eV per cell. The calculation puts the calculated formation energy at -0.13 eV per atom. The calculation puts the volume at 291.9 Å³/cell. As for the space group: P2/m (10).

[5]
# PrCu8Ag3

A geometry-optimized PrCu8Ag3 structure (GGA-PBE, Alexandria via LeMat-Bulk).

Cell lengths 5.042, 5.042, 8.777 Å; angles 73.31, 73.31, 60.00 degrees
Positions (direct):
Pr 0.875 0.875 0.376
Cu 0.945 0.441 0.173
Cu 0.432 0.937 0.695
Cu 0.441 0.441 0.173
Cu 0.937 0.937 0.695
Cu 0.187 0.187 0.439
Cu 0.688 0.688 0.935
Cu 0.441 0.945 0.173
Cu 0.937 0.432 0.695
Ag 0.374 0.374 0.877
Ag 0.003 0.003 0.991
Ag 0.490 0.490 0.529

Calculated values
The total energy comes out at -46.49 eV per cell. The calculation puts the calculated formation energy at -0.03 eV per atom. The calculation puts the volume at 182.3 Å³/cell. As for the space group: R3m (160).

[6]
# PrCuAg

A geometry-optimized PrCuAg structure (GGA-PBE, Alexandria via LeMat-Bulk).

Cell lengths 4.697, 4.697, 4.697 Å; angles 60.00, 60.00, 60.00 degrees
Positions (direct):
Pr 0.000 0.000 0.000
Cu 0.250 0.250 0.250
Ag 0.500 0.500 0.500

Calculated values
The total energy comes out at -11.91 eV per cell. The calculation puts the calculated formation energy at -0.06 eV per atom. The calculation puts the volume at 73.3 Å³/cell. As for the space group: F-43m (216).

Which of these has the highest calculated formation energy? PrCu8Ag3